A plane-wave DFT calculation with PBE-GGA was carried out for a geometry-optimized ThMgCoNi structure.

Cell lengths 4.672, 4.672, 4.672 Å; angles 60.00, 60.00, 60.00 degrees
Atoms (fractional coordinates):
Ni 0.000 0.000 0.000
Mg 0.250 0.250 0.250
Co 0.500 0.500 0.500
Th 0.750 0.750 0.750

Energy of formation from the pure elements: -57 kJ/mol of formula units
Crystal system: cubic
Magnetic moment: 0.345 μB per formula unit